1.
First-principles (PBE) data for a relaxed Zr2MnI crystal, as listed in the Alexandria database.

Cell: 4.8976 4.8976 4.8976 Å, 60.00 60.00 60.00°
With the nearest neighbours (Å) after each atom.
Fractional positions:
I: 0.5000 0.5000 0.5000  8 Zr 3.00
Mn: 0.0000 0.0000 0.0000  8 Zr 3.00
Zr: 0.2500 0.2500 0.2500  4 I 3.00, 4 Mn 3.00
Zr: 0.7500 0.7500 0.7500  4 I 3.00, 4 Mn 3.00

Calculated values
SG = Fm-3m (225)



2.
First-principles (PBE) data for a relaxed ZrMn3I crystal, as listed in the Alexandria database.

Cell: 5.1347 5.1347 5.1347 Å, 90.00 90.00 90.00°
With the nearest neighbours (Å) after each atom.
Fractional positions:
I: 0.5000 0.5000 0.5000  12 Mn 3.63
Mn: 0.0000 0.5000 0.0000  2 Zr 2.57
Mn: 0.0000 0.0000 0.5000  2 Zr 2.57
Mn: 0.5000 0.0000 0.0000  2 Zr 2.57
Zr: 0.0000 0.0000 0.0000  6 Mn 2.57

Calculated values
SG = Pm-3m (221)



3.
First-principles (PBE) data for a relaxed ZrMnI2 crystal, as listed in the Alexandria database.

Cell: 6.6511 6.6511 7.5405 Å, 63.83 63.83 90.00°
With the nearest neighbours (Å) after each atom.
Fractional positions:
I: 0.5921 0.1250 0.2500  2 Mn 2.65, 2 Zr 2.91
I: 0.1579 0.6250 0.2500  2 Mn 2.65, 2 Zr 2.91
I: 0.3750 0.4079 0.7500  2 Mn 2.65, 2 Zr 2.91
I: 0.8750 0.8421 0.7500  2 Mn 2.65, 2 Zr 2.91
Mn: 0.5000 0.5000 0.0000  4 I 2.65
Mn: 0.2500 0.7500 0.5000  4 I 2.65
Zr: 0.0000 0.0000 0.0000  4 I 2.91
Zr: 0.7500 0.2500 0.5000  4 I 2.91

Calculated values
SG = I-42d (122)



4.
First-principles (PBE) data for a relaxed Zr2MnI crystal, as listed in the Alexandria database.

Cell: 6.1490 6.1490 7.4265 Å, 65.54 65.54 90.00°
With the nearest neighbours (Å) after each atom.
Fractional positions:
I: 0.0000 0.0000 0.0000  4 Zr 3.05
I: 0.7500 0.2500 0.5000  4 Zr 3.05
Mn: 0.5000 0.5000 0.0000  4 Zr 2.34
Mn: 0.2500 0.7500 0.5000  4 Zr 2.34
Zr: 0.5230 0.1250 0.2500  2 Mn 2.34
Zr: 0.2270 0.6250 0.2500  2 Mn 2.34
Zr: 0.3750 0.4770 0.7500  2 Mn 2.34
Zr: 0.8750 0.7730 0.7500  2 Mn 2.34

Calculated values
SG = I-42d (122)



| no. | total DFT energy (no corrections) (eV/atom) | polymorph energy (0 for the lowest one) (eV per atom) |
| --- | --- | --- |
| 1 | -6.61 | 0.0000 |
| 2 | -6.18 | 0.1062 |
| 3 | -4.74 | 0.0000 |
| 4 | -6.32 | 0.2892 |